No. 1
VASP calculation (PBEsol) on an optimized crystal structure of MgZr2H2.

a b c (Å): 3.7423 3.7423 5.6216
angles (deg): 109.44 109.44 90.00
Fractional coordinates of all 5 atoms:
H 0.2500 0.7500 0.5000
H 0.7500 0.2500 0.5000
Zr 0.6604 0.6604 0.3208
Zr 0.3396 0.3396 0.6792
Mg 0.0000 0.0000 0.0000

**Space-group type**: I4/mmm, No. 139
**E**: -5.602 eV/atom



No. 2
VASP calculation (PBEsol) on an optimized crystal structure of Sc2Si4Mo3.

a b c (Å): 6.5032 6.7207 12.5624
angles (deg): 90.00 90.00 90.00
Fractional coordinates of all 36 atoms:
Si 0.3342 0.9622 0.5445
Si 0.2995 0.8584 0.2500
Si 0.6658 0.0378 0.0445
Si 0.8342 0.5378 0.9555
Si 0.7005 0.1416 0.7500
Si 0.0320 0.1234 0.2500
Si 0.2005 0.3584 0.7500
Si 0.5320 0.3766 0.2500
Si 0.3342 0.9622 0.9555
Si 0.6658 0.0378 0.4555
Si 0.7995 0.6416 0.2500
Si 0.8342 0.5378 0.5445
Si 0.1658 0.4622 0.4555
Si 0.9680 0.8766 0.7500
Si 0.4680 0.6234 0.7500
Si 0.1658 0.4622 0.0445
Sc 0.0040 0.8301 0.4079
Sc 0.5040 0.6699 0.4079
Sc 0.9960 0.1699 0.9079
Sc 0.4960 0.3301 0.9079
Sc 0.4960 0.3301 0.5921
Sc 0.5040 0.6699 0.0921
Sc 0.9960 0.1699 0.5921
Sc 0.0040 0.8301 0.0921
Mo 0.3294 0.1648 0.1240
Mo 0.1706 0.6648 0.8760
Mo 0.8294 0.3352 0.3760
Mo 0.3360 0.0038 0.7500
Mo 0.1706 0.6648 0.6240
Mo 0.6706 0.8352 0.6240
Mo 0.6706 0.8352 0.8760
Mo 0.1640 0.5038 0.2500
Mo 0.3294 0.1648 0.3760
Mo 0.8294 0.3352 0.1240
Mo 0.6640 0.9962 0.2500
Mo 0.8360 0.4962 0.7500

**Space-group type**: Pnma, No. 62
**E**: -8.732 eV/atom
**Uncorrected formation energy**: -7.09 eV/f.u.



No. 3
VASP calculation (PBEsol) on an optimized crystal structure of Si2IO.

a b c (Å): 4.8346 4.8346 7.4655
angles (deg): 108.89 108.89 90.00
Fractional coordinates of all 8 atoms:
O 0.5000 0.5000 0.0000
O 0.7500 0.2500 0.5000
Si 0.1250 0.3432 0.7500
Si 0.6568 0.3750 0.2500
Si 0.5932 0.8750 0.2500
Si 0.6250 0.4068 0.7500
I 0.2500 0.7500 0.5000
I 0.0000 0.0000 0.0000

**Space-group type**: I-42d, No. 122
**E**: -4.752 eV/atom
**Uncorrected formation energy**: -0.50 eV/f.u.